Mg3Au after structural relaxation, computed with GGA-PBEsol.

a b c (Å): 6.0097 6.0097 4.7973
angles (deg): 90.00 90.00 120.00
Sites, in units of the cell vectors:
Mg  0.1722  0.3443  0.2500
Mg  0.1722  0.8278  0.2500
Mg  0.3443  0.1722  0.7500
Mg  0.6557  0.8278  0.2500
Mg  0.8278  0.1722  0.7500
Mg  0.8278  0.6557  0.7500
Au  0.3333  0.6667  0.7500
Au  0.6667  0.3333  0.2500

Properties
For the distance to the lowest polymorph of the same formula, the calculation gives 0.0538 eV per atom. The calculation puts the energy of formation from the pure elements at -0.3640 eV/atom. The electronic total energy is -21.06 eV per cell. Its mass density is 5.97 Mg/m³.